Entry from Alexandria: crystalline Fe5Si at its relaxed geometry (PBE).

Cell lengths 2.8208, 11.9803, 3.9560 Å; angles 90.00, 90.00, 90.00 degrees
With the nearest neighbours (Å) after each atom.
Space group Cmmm (No. 65)
One atom of each set of equivalent atoms:
Fe (0.0000, 0.0000, 0.0000) [2 per cell]  4 Si 2.43, 4 Fe 2.43
Fe (0.0000, 0.1667, 0.5000) [4 per cell]  6 Fe 2.43-2.44, 2 Si 2.44
Fe (0.0000, 0.3346, 0.0000) [4 per cell]  8 Fe 2.43-2.47
Si (0.0000, 0.5000, 0.5000) [2 per cell]  8 Fe 2.43-2.44

Summary:
For the energy above the most stable polymorph in this dataset, the calculation gives 37.8 meV per atom. Its uncorrected formation energy is -167 meV/atom.

Entry from Alexandria: crystalline CsCd2PRh at its relaxed geometry (PBE).

Cell lengths 5.4000, 5.4000, 4.5922 Å; angles 90.00, 90.00, 90.00 degrees
With the nearest neighbours (Å) after each atom.
Space group P4/mmm (No. 123)
One atom of each set of equivalent atoms:
Cs (0.0000, 0.0000, 0.0000) [1 per cell]  8 Cd 3.54, 4 P 3.82
Cd (0.0000, 0.5000, 0.5000) [2 per cell]  2 Rh 2.70
P (0.5000, 0.5000, 0.0000) [1 per cell]  2 Rh 2.30
Rh (0.5000, 0.5000, 0.5000) [1 per cell]  2 P 2.30

Summary:
For the formation energy, the calculation gives -0.5 eV per formula unit.

Entry from Alexandria: crystalline Na2Ho2TeS6 at its relaxed geometry (PBE).

Cell lengths 6.8378, 11.7975, 7.1277 Å; angles 90.00, 107.77, 90.00 degrees
With the nearest neighbours (Å) after each atom.
Space group C2/m (No. 12)
One atom of each set of equivalent atoms:
Na (0.0000, 0.1632, 0.0000) [4 per cell]  6 S 2.91-3.04
Ho (0.0000, 0.3339, 0.5000) [4 per cell]  6 S 2.73-2.75
Te (0.0000, 0.0000, 0.5000) [2 per cell]  6 S 2.67-2.69
S (0.2322, 0.1646, 0.7191) [8 per cell]  1 Te 2.69, 2 Ho 2.73-2.75, 1 Na 2.91
S (0.2465, 0.5000, 0.7204) [4 per cell]  1 Te 2.67, 2 Ho 2.74, 2 Na 2.93

Summary:
Its uncorrected formation energy is -1308 meV/atom.